Entry 1:
Computed, not measured: FeTc after structural relaxation at the PBE level of DFT.

Cell and atoms, written as POSCAR:
```
FeTc
1.0
4.765 -1.318 0.000
4.765 1.318 0.000
-1.536 0.000 6.004
Fe Tc
3 3
Direct
0.000 0.000 0.000 Fe
0.062 0.062 0.606 Fe
0.662 0.662 0.334 Fe
0.338 0.338 0.664 Tc
0.394 0.394 0.280 Tc
0.709 0.709 0.946 Tc
```

Properties
Its crystal system is monoclinic. As for the formation energy: 73.1 meV/atom. Its total energy is -9.34 eV per atom.

=====

Entry 2:
Computed, not measured: Cr2Fe5Re2Si after structural relaxation at the PBE level of DFT.

Cell and atoms, written as POSCAR:
```
Cr2Fe5Re2Si
1.0
8.113 0.000 0.000
0.000 8.113 0.000
0.000 0.000 3.711
Cr Fe Re Si
4 10 4 2
Direct
0.130 0.370 0.000 Cr
0.370 0.870 0.000 Cr
0.630 0.130 0.000 Cr
0.870 0.630 0.000 Cr
0.000 0.500 0.500 Fe
0.068 0.198 0.500 Fe
0.198 0.932 0.500 Fe
0.302 0.432 0.500 Fe
0.432 0.698 0.500 Fe
0.500 0.000 0.500 Fe
0.568 0.302 0.500 Fe
0.698 0.568 0.500 Fe
0.802 0.068 0.500 Fe
0.932 0.802 0.500 Fe
0.165 0.665 0.000 Re
0.335 0.165 0.000 Re
0.665 0.835 0.000 Re
0.835 0.335 0.000 Re
0.000 0.000 0.000 Si
0.500 0.500 0.000 Si
```

Properties
Its crystal system is tetragonal. Its total energy is -9.00 eV per atom.

=====

Entry 3:
Computed, not measured: Ag2PRh after structural relaxation at the PBE level of DFT.

Cell and atoms, written as POSCAR:
```
Ag2PRh
1.0
-1.865 1.865 4.584
1.865 -1.865 4.584
1.865 1.865 -4.584
Ag P Rh
2 1 1
Direct
0.250 0.750 0.500 Ag
0.750 0.250 0.500 Ag
0.000 0.000 0.000 P
0.500 0.500 0.000 Rh
```

Properties
Its crystal system is tetragonal. As for the formation energy: 221.2 meV/atom. Its total energy is -4.39 eV per atom.

=====

Entry 4:
Computed, not measured: BaZr3 after structural relaxation at the PBE level of DFT.

Cell and atoms, written as POSCAR:
```
BaZr3
1.0
5.418 0.000 0.000
0.000 5.418 0.000
0.000 0.000 5.418
Ba Zr
1 3
Direct
0.000 0.000 0.000 Ba
0.000 0.000 0.500 Zr
0.000 0.500 0.000 Zr
0.500 0.000 0.000 Zr
```

Properties
Its crystal system is cubic. As for the formation energy: 2596.8 meV/atom. The energy above the most stable polymorph in this dataset is 220.11 kJ/mol of atoms. Its total energy is -4.29 eV per atom.

=====

Entry 5:
Computed, not measured: BaAc6Pr after structural relaxation at the PBE level of DFT.

Cell and atoms, written as POSCAR:
```
BaAc6Pr
1.0
5.642 0.000 0.000
0.000 5.642 0.000
0.000 0.000 11.337
Ba Ac Pr
1 6 1
Direct
0.000 0.000 0.000 Ba
0.000 0.500 0.263 Ac
0.000 0.500 0.737 Ac
0.500 0.000 0.263 Ac
0.500 0.000 0.737 Ac
0.500 0.500 0.000 Ac
0.500 0.500 0.500 Ac
0.000 0.000 0.500 Pr
```

Properties
Its crystal system is tetragonal. As for the formation energy: 52.7 meV/atom. Its total energy is -3.87 eV per atom.

=====

Entry 6:
Computed, not measured: NaInSe2 after structural relaxation at the PBE level of DFT.

Cell and atoms, written as POSCAR:
```
NaInSe2
1.0
4.079 0.000 0.000
-2.039 3.532 0.000
0.000 0.000 7.616
Na In Se
1 1 2
Direct
0.000 0.000 0.000 Na
0.667 0.333 0.561 In
0.000 0.000 0.374 Se
0.333 0.667 0.776 Se
```

Properties
Its crystal system is trigonal. Its total energy is -3.51 eV per atom.

=====

Entry 7:
Computed, not measured: Tb7Pm2Er after structural relaxation at the PBE level of DFT.

Cell and atoms, written as POSCAR:
```
Tb7Pm2Er
1.0
3.264 -14.436 0.000
3.264 14.436 0.000
0.000 0.000 3.507
Tb Pm Er
7 2 1
Direct
0.000 0.000 0.000 Tb
0.157 0.352 0.000 Tb
0.314 0.686 0.500 Tb
0.352 0.157 0.000 Tb
0.648 0.843 0.000 Tb
0.686 0.314 0.500 Tb
0.843 0.648 0.000 Tb
0.207 0.793 0.000 Pm
0.793 0.207 0.000 Pm
0.500 0.500 0.500 Er
```

Properties
Its crystal system is orthorhombic. As for the formation energy: 156.7 meV/atom. Its total energy is -4.49 eV per atom.

=====

Entry 8:
Computed, not measured: Pm4Re after structural relaxation at the PBE level of DFT.

Cell and atoms, written as POSCAR:
```
Pm4Re
1.0
5.571 0.000 0.000
0.000 5.571 0.000
0.000 0.000 5.571
Pm Re
4 1
Direct
0.000 0.000 0.000 Pm
0.000 0.500 0.500 Pm
0.500 0.000 0.500 Pm
0.500 0.500 0.000 Pm
0.500 0.500 0.500 Re
```

Properties
Its crystal system is cubic. As for the formation energy: 338.1 meV/atom. Its total energy is -5.95 eV per atom.

=====

Entry 9:
Computed, not measured: CsHg12 after structural relaxation at the PBE level of DFT.

Cell and atoms, written as POSCAR:
```
CsHg12
1.0
0.000 6.771 6.771
6.771 0.000 6.771
6.771 6.771 0.000
Cs Hg
1 12
Direct
0.000 0.000 0.000 Cs
0.164 0.500 0.500 Hg
0.164 0.500 0.836 Hg
0.164 0.836 0.500 Hg
0.500 0.164 0.500 Hg
0.500 0.164 0.836 Hg
0.500 0.500 0.164 Hg
0.500 0.500 0.836 Hg
0.500 0.836 0.164 Hg
0.500 0.836 0.500 Hg
0.836 0.164 0.500 Hg
0.836 0.500 0.164 Hg
0.836 0.500 0.500 Hg
```

Properties
Its crystal system is cubic. As for the formation energy: -10.8 meV/atom. The energy above the most stable polymorph in this dataset is 0.00 kJ/mol of atoms. Its total energy is -0.36 eV per atom.

=====

Entry 10:
Computed, not measured: AcCeSi2Pt2 after structural relaxation at the PBE level of DFT.

Cell and atoms, written as POSCAR:
```
AcCeSi2Pt2
1.0
4.267 0.000 0.000
-2.134 3.696 0.000
0.000 0.000 8.494
Ac Ce Si Pt
1 1 2 2
Direct
0.000 0.000 0.000 Ac
0.000 0.000 0.500 Ce
0.333 0.667 0.726 Si
0.667 0.333 0.274 Si
0.333 0.667 0.263 Pt
0.667 0.333 0.737 Pt
```

Properties
Its crystal system is trigonal. Its total energy is -6.59 eV per atom.

=====

Entry 11:
Computed, not measured: Fe2SbPt after structural relaxation at the PBE level of DFT.

Cell and atoms, written as POSCAR:
```
Fe2SbPt
1.0
3.189 0.000 0.000
0.000 4.285 0.000
0.000 0.000 4.541
Fe Sb Pt
2 1 1
Direct
0.000 0.000 0.000 Fe
0.000 0.500 0.296 Fe
0.500 0.000 0.468 Sb
0.500 0.500 0.827 Pt
```

Properties
Its crystal system is orthorhombic. Its total energy is -6.72 eV per atom.

=====

Entry 12:
Computed, not measured: HRhPb3 after structural relaxation at the PBE level of DFT.

Cell and atoms, written as POSCAR:
```
HRhPb3
1.0
5.293 0.000 0.000
0.000 5.293 0.000
0.000 0.000 5.293
H Rh Pb
1 1 3
Direct
0.000 0.000 0.000 H
0.500 0.500 0.500 Rh
0.000 0.500 0.500 Pb
0.500 0.000 0.500 Pb
0.500 0.500 0.000 Pb
```

Properties
Its crystal system is cubic. The energy above the most stable polymorph in this dataset is 9.36 kJ/mol of atoms. Its total energy is -3.85 eV per atom.

=====

Entry 13:
Computed, not measured: Pm3HoSe4 after structural relaxation at the PBE level of DFT.

Cell and atoms, written as POSCAR:
```
Pm3HoSe4
1.0
5.890 0.000 0.000
0.000 5.890 0.000
0.000 0.000 5.890
Pm Ho Se
3 1 4
Direct
0.000 0.000 0.500 Pm
0.000 0.500 0.000 Pm
0.500 0.000 0.000 Pm
0.500 0.500 0.500 Ho
0.000 0.000 0.000 Se
0.000 0.500 0.500 Se
0.500 0.000 0.500 Se
0.500 0.500 0.000 Se
```

Properties
Its crystal system is cubic. The energy above the most stable polymorph in this dataset is 1.72 kJ/mol of atoms. Its total energy is -5.88 eV per atom.

=====

Entry 14:
Computed, not measured: ThInPdAu after structural relaxation at the PBE level of DFT.

Cell and atoms, written as POSCAR:
```
ThInPdAu
1.0
0.000 3.543 3.543
3.543 0.000 3.543
3.543 3.543 0.000
Th In Pd Au
1 1 1 1
Direct
0.000 0.000 0.000 Th
0.500 0.500 0.500 In
0.250 0.250 0.250 Pd
0.750 0.750 0.750 Au
```

Properties
Its crystal system is cubic. As for the formation energy: -672.0 meV/atom. Its total energy is -5.33 eV per atom.

=====

Entry 15:
Computed, not measured: TlGeO after structural relaxation at the PBE level of DFT.

Cell and atoms, written as POSCAR:
```
TlGeO
1.0
3.138 0.000 0.000
-1.508 2.878 0.000
-1.560 -0.995 7.212
Tl Ge O
1 1 1
Direct
0.000 0.000 0.000 Tl
0.709 0.872 0.558 Ge
0.282 0.146 0.432 O
```

Properties
Its crystal system is triclinic. The energy above the most stable polymorph in this dataset is 5.96 kJ/mol of atoms. Its total energy is -4.51 eV per atom.

=====

Entry 16:
Computed, not measured: Na3Li3MnI8 after structural relaxation at the PBE level of DFT.

Cell and atoms, written as POSCAR:
```
Na3Li3MnI8
1.0
4.360 2.517 7.393
-4.360 2.517 7.393
0.000 -5.035 7.393
Na Li Mn I
3 3 1 8
Direct
0.000 0.500 0.500 Na
0.500 0.000 0.500 Na
0.500 0.500 0.000 Na
0.000 0.000 0.500 Li
0.000 0.500 0.000 Li
0.500 0.000 0.000 Li
0.500 0.500 0.500 Mn
0.243 0.243 0.243 I
0.251 0.736 0.736 I
0.264 0.264 0.749 I
0.264 0.749 0.264 I
0.736 0.251 0.736 I
0.736 0.736 0.251 I
0.749 0.264 0.264 I
0.757 0.757 0.757 I
```

Properties
Its crystal system is trigonal. Its total energy is -3.14 eV per atom.

=====

Entry 17:
Computed, not measured: LaMgAl2B after structural relaxation at the PBE level of DFT.

Cell and atoms, written as POSCAR:
```
LaMgAl2B
1.0
5.740 0.000 0.000
0.000 5.740 0.000
0.000 0.000 6.135
La Mg Al B
1 1 2 1
Direct
0.000 0.000 0.000 La
0.000 0.000 0.500 Mg
0.000 0.500 0.000 Al
0.500 0.000 0.000 Al
0.500 0.500 0.500 B
```

Properties
Its crystal system is tetragonal. As for the formation energy: 2078.8 meV/atom. Its total energy is -2.06 eV per atom.

=====

Entry 18:
Computed, not measured: Li2Cu5Si2 after structural relaxation at the PBE level of DFT.

Cell and atoms, written as POSCAR:
```
Li2Cu5Si2
1.0
-7.218 3.359 2.358
7.218 -3.359 2.358
7.218 3.359 -2.358
Li Cu Si
4 10 4
Direct
0.000 0.000 0.000 Li
0.000 0.500 0.500 Li
0.289 0.163 0.626 Li
0.536 0.663 0.374 Li
0.225 0.483 0.930 Cu
0.225 0.795 0.242 Cu
0.405 0.165 0.390 Cu
0.405 0.514 0.740 Cu
0.419 0.905 0.014 Cu
0.553 0.295 0.070 Cu
0.553 0.983 0.758 Cu
0.775 0.014 0.610 Cu
0.775 0.665 0.260 Cu
0.891 0.405 0.986 Cu
0.923 0.596 0.657 Si
0.923 0.765 0.827 Si
0.939 0.096 0.173 Si
0.939 0.265 0.343 Si
```

Properties
Its crystal system is orthorhombic. Its total energy is -4.00 eV per atom.

=====

Entry 19:
Computed, not measured: Ba2Sr2PuO6 after structural relaxation at the PBE level of DFT.

Cell and atoms, written as POSCAR:
```
Ba2Sr2PuO6
1.0
3.405 -5.473 0.000
3.405 5.473 0.000
-2.109 0.000 5.926
Ba Sr Pu O
2 2 1 6
Direct
0.155 0.845 0.000 Ba
0.845 0.155 0.000 Ba
0.333 0.667 0.500 Sr
0.667 0.333 0.500 Sr
0.500 0.500 0.000 Pu
0.144 0.460 0.780 O
0.322 0.322 0.231 O
0.460 0.144 0.780 O
0.540 0.856 0.220 O
0.678 0.678 0.769 O
0.856 0.540 0.220 O
```

Properties
Its crystal system is monoclinic. Its total energy is -7.33 eV per atom.

=====

Entry 20:
Computed, not measured: NdErGeSe after structural relaxation at the PBE level of DFT.

Cell and atoms, written as POSCAR:
```
NdErGeSe
1.0
2.093 1.208 6.881
-2.093 1.208 6.881
0.000 -2.417 6.881
Nd Er Ge Se
1 1 1 1
Direct
0.000 0.000 0.000 Nd
0.492 0.492 0.492 Er
0.749 0.749 0.749 Ge
0.241 0.241 0.241 Se
```

Properties
Its crystal system is trigonal. Its total energy is -5.73 eV per atom.

=====

Entry 21:
Computed, not measured: K2HgWBr after structural relaxation at the PBE level of DFT.

Cell and atoms, written as POSCAR:
```
K2HgWBr
1.0
6.733 0.000 0.000
0.000 6.733 0.000
0.000 0.000 4.812
K Hg W Br
2 1 1 1
Direct
0.000 0.500 0.000 K
0.500 0.000 0.000 K
0.000 0.000 0.500 Hg
0.500 0.500 0.000 W
0.500 0.500 0.500 Br
```

Properties
Its crystal system is tetragonal. Its total energy is -2.66 eV per atom.

=====

Entry 22:
Computed, not measured: TlZnSi2 after structural relaxation at the PBE level of DFT.

Cell and atoms, written as POSCAR:
```
TlZnSi2
1.0
1.523 0.879 9.917
-1.523 0.879 9.917
0.000 -1.759 9.917
Tl Zn Si
1 1 2
Direct
0.000 0.000 0.000 Tl
0.500 0.500 0.500 Zn
0.237 0.237 0.237 Si
0.763 0.763 0.763 Si
```

Properties
Its crystal system is trigonal. The energy above the most stable polymorph in this dataset is 28.19 kJ/mol of atoms. Its total energy is -3.07 eV per atom.

=====

Entry 23:
Computed, not measured: CaHgPd2 after structural relaxation at the PBE level of DFT.

Cell and atoms, written as POSCAR:
```
CaHgPd2
1.0
5.472 0.000 0.000
0.000 5.453 0.000
0.000 0.000 13.338
Ca Hg Pd
4 4 8
Direct
0.250 0.000 0.077 Ca
0.250 0.500 0.409 Ca
0.750 0.000 0.923 Ca
0.750 0.500 0.591 Ca
0.250 0.000 0.820 Hg
0.250 0.500 0.819 Hg
0.750 0.000 0.180 Hg
0.750 0.500 0.181 Hg
0.000 0.000 0.500 Pd
0.000 0.500 0.000 Pd
0.250 0.254 0.638 Pd
0.250 0.746 0.638 Pd
0.500 0.000 0.500 Pd
0.500 0.500 0.000 Pd
0.750 0.254 0.362 Pd
0.750 0.746 0.362 Pd
```

Properties
Its crystal system is orthorhombic. As for the formation energy: -269.3 meV/atom. Its total energy is -3.44 eV per atom.

=====

Entry 24:
Computed, not measured: Ce4HgN after structural relaxation at the PBE level of DFT.

Cell and atoms, written as POSCAR:
```
Ce4HgN
1.0
6.018 0.000 0.000
-0.001 6.768 0.000
-3.000 -1.879 6.868
Ce Hg N
8 2 2
Direct
0.013 0.471 0.180 Ce
0.167 0.971 0.180 Ce
0.212 0.847 0.605 Ce
0.392 0.346 0.605 Ce
0.608 0.654 0.395 Ce
0.788 0.153 0.395 Ce
0.833 0.029 0.820 Ce
0.987 0.529 0.820 Ce
0.425 0.250 0.000 Hg
0.575 0.750 0.000 Hg
0.000 0.500 0.500 N
0.500 0.000 0.500 N
```

Properties
Its crystal system is triclinic. Its total energy is -5.93 eV per atom.